The following is a GGA-PBE calculation of a geometry-optimized CoAg2Te structure, from Alexandria.

Structure (CIF):
```
data_CoAg2Te
_symmetry_space_group_name_H-M 'I m m m'
_symmetry_Int_Tables_number 71
_symmetry_space_group_name_Hall '-I 2 2'
_cell_length_a 3.139
_cell_length_b 4.034
_cell_length_c 12.057
_cell_angle_alpha 90.00
_cell_angle_beta 90.00
_cell_angle_gamma 90.00
loop_
_atom_site_label
_atom_site_type_symbol
_atom_site_fract_x
_atom_site_fract_y
_atom_site_fract_z
Co1 Co 0.000 0.000 0.000
Ag1 Ag 0.000 0.500 0.307
Te1 Te 0.000 0.000 0.500
```

DOS at the Fermi energy (states/eV/f.u.): 3.60
V (A^3/atom): 19.1
E_form (uncorrected) (eV per formula unit): 1.30


The following is a GGA-PBE calculation of a geometry-optimized Tb2Al9Pd6 structure, from Alexandria.

Structure (CIF):
```
data_Tb2Al9Pd6
_symmetry_space_group_name_H-M 'P 6/m m m'
_symmetry_Int_Tables_number 191
_symmetry_space_group_name_Hall '-P 6 2'
_cell_length_a 5.4005
_cell_length_b 5.4005
_cell_length_c 12.5961
_cell_angle_alpha 90.00
_cell_angle_beta 90.00
_cell_angle_gamma 120.00
loop_
_atom_site_label
_atom_site_type_symbol
_atom_site_fract_x
_atom_site_fract_y
_atom_site_fract_z
Tb1 Tb 0.0000 0.0000 0.1554
Al1 Al 0.0000 0.5000 0.0000
Al2 Al 0.0000 0.5000 0.3383
Pd1 Pd 0.3333 0.6667 0.1715
Pd2 Pd 0.3333 0.6667 0.5000
```

DOS at the Fermi energy (states/eV/f.u.): 9.69
V (A^3/atom): 18.7
Formation energy from the elements (kJ per mole of atoms): -63.04


The following is a GGA-PBE calculation of a geometry-optimized ReTc2Hg structure, from Alexandria.

Structure (CIF):
```
data_ReTc2Hg
_symmetry_space_group_name_H-M 'I -4 2 d'
_symmetry_Int_Tables_number 122
_symmetry_space_group_name_Hall 'I -4 2bw'
_cell_length_a 7.320
_cell_length_b 7.320
_cell_length_c 5.472
_cell_angle_alpha 90.00
_cell_angle_beta 90.00
_cell_angle_gamma 90.00
loop_
_atom_site_label
_atom_site_type_symbol
_atom_site_fract_x
_atom_site_fract_y
_atom_site_fract_z
Re1 Re 0.000 0.000 0.000
Tc1 Tc 0.197 0.750 0.125
Hg1 Hg 0.000 0.000 0.500
```

DOS at the Fermi energy (states/eV/f.u.): 5.66
V (A^3/atom): 18.3
Formation energy from the elements (kJ per mole of atoms): 85.50


The following is a GGA-PBE calculation of a geometry-optimized Pu4Pt2RhAu structure, from Alexandria.

Structure (CIF):
```
data_Pu4Pt2RhAu
_symmetry_space_group_name_H-M 'R -3 m'
_symmetry_Int_Tables_number 166
_symmetry_space_group_name_Hall '-R 3 2"'
_cell_length_a 5.0065
_cell_length_b 5.0065
_cell_length_c 24.1404
_cell_angle_alpha 90.00
_cell_angle_beta 90.00
_cell_angle_gamma 120.00
loop_
_atom_site_label
_atom_site_type_symbol
_atom_site_fract_x
_atom_site_fract_y
_atom_site_fract_z
Pu1 Pu 0.0000 0.0000 0.1193
Pu2 Pu 0.0000 0.0000 0.3699
Pt1 Pt 0.0000 0.0000 0.2475
Rh1 Rh 0.0000 0.0000 0.0000
Au1 Au 0.0000 0.0000 0.5000
```

DOS at the Fermi energy (states/eV/f.u.): 34.70
V (A^3/atom): 21.8
Formation energy from the elements (kJ per mole of atoms): -55.08


In eV per formula unit, the electronic total energy values for the records above are, in order, -14.65 -85.21 -29.94 -84.61.